Record 1
Compound: Cu2HgAs
Source: Alexandria
Functional: GGA-PBEsol
Structure: relaxed

The structure in POSCAR format:
```
Cu2HgAs
1.0
-2.551 1.591 0.451
-0.759 -0.389 -2.918
-3.362 -5.858 1.657
Cu As Hg
2 1 1
direct
0.000 0.000 0.019
0.500 0.500 0.206
0.500 0.500 0.823
0.000 0.000 0.452
```

Properties
Magnetization in μB/cell: 0.000
Space-group type: P4mm
Uncorrected energy in eV/atom: -3.4169
Crystal system: tetragonal
Formation energy from the elements in eV per formula unit: 0.67

Record 2
Compound: Cu2HgAs
Source: Alexandria
Functional: GGA-PBEsol
Structure: relaxed

The structure in POSCAR format:
```
Cu2HgAs
1.0
-1.793 1.047 -1.986
-0.530 -3.728 -1.486
-4.209 -0.837 3.601
As Cu Hg
1 2 1
direct
0.360 0.500 0.876
0.884 0.500 0.242
0.860 0.000 0.942
0.396 0.000 0.439
```

Properties
Magnetization in μB/cell: 0.000
Space-group type: Pm
Uncorrected energy in eV/atom: -3.4214
Crystal system: monoclinic
Formation energy from the elements in eV per formula unit: 0.66

Record 3
Compound: CuHgAs
Source: Alexandria
Functional: GGA-PBEsol
Structure: relaxed

The structure in POSCAR format:
```
CuHgAs
1.0
2.924 0.000 0.000
0.000 2.924 0.000
-1.462 -1.462 6.222
Cu Hg As
1 1 1
direct
0.654 0.654 0.307
0.314 0.314 0.628
0.032 0.032 0.064
```

Properties
Magnetization in μB/cell: 0.000
Space-group type: I4mm
Uncorrected energy in eV/atom: -3.1399
Crystal system: tetragonal
Formation energy from the elements in eV per formula unit: 0.59

Record 4
Compound: Cu2HgAs
Source: Alexandria
Functional: GGA-PBEsol
Structure: relaxed

The structure in POSCAR format:
```
Cu2HgAs
1.0
3.302 0.000 0.000
0.000 3.096 0.000
0.000 0.000 5.988
As Hg Cu
1 1 2
direct
0.500 0.500 0.000
0.500 0.500 0.500
0.000 0.000 0.223
0.000 0.000 0.777
```

Properties
Magnetization in μB/cell: 0.000
Space-group type: Pmmm
Uncorrected energy in eV/atom: -3.3981
Crystal system: orthorhombic
Formation energy from the elements in eV per formula unit: 0.75

Record 5
Compound: Cu6Hg3As4S12
Source: Alexandria
Functional: GGA-PBEsol
Structure: relaxed

The structure in POSCAR format:
```
Cu6Hg3As4S12
1.0
8.453 0.002 0.003
-2.542 8.062 0.003
-2.542 -3.467 7.278
S Cu As Hg
12 6 4 3
direct
0.770 0.819 0.046
0.046 0.770 0.819
0.687 0.621 0.364
0.930 0.352 0.476
0.977 0.511 0.157
0.352 0.476 0.930
0.157 0.977 0.511
0.364 0.687 0.621
0.511 0.157 0.977
0.476 0.930 0.352
0.819 0.046 0.770
0.621 0.364 0.687
0.582 0.786 0.530
0.786 0.530 0.582
0.742 0.269 0.900
0.269 0.900 0.742
0.530 0.582 0.786
0.900 0.742 0.269
0.364 0.146 0.427
0.000 0.000 0.000
0.427 0.364 0.146
0.146 0.427 0.364
0.202 0.673 0.055
0.055 0.202 0.673
0.673 0.055 0.202
```

Properties
Magnetization in μB/cell: 0.000
Space-group type: R3
E_form (uncorrected) in eV/atom: -0.21
Uncorrected energy in eV/atom: -4.2393
Crystal system: trigonal

Record 6
Compound: HoCuAs2
Source: Alexandria
Functional: GGA-PBEsol
Structure: relaxed

The structure in POSCAR format:
```
HoCuAs2
1.0
3.849 0.000 0.000
0.000 3.849 0.000
0.000 0.000 9.623
Cu Ho As
2 2 4
direct
0.500 0.500 0.500
0.000 0.000 0.500
0.500 0.000 0.238
0.000 0.500 0.762
0.000 0.500 0.338
0.500 0.500 0.000
0.000 0.000 0.000
0.500 0.000 0.662
```

Properties
Magnetization in μB/cell: 0.000
Space-group type: P4/nmm
Uncorrected energy in eV/atom: -5.7338
Crystal system: tetragonal
Formation energy from the elements in eV per formula unit: -3.44

Record 7
Compound: CuAs2I
Source: Alexandria
Functional: GGA-PBEsol
Structure: relaxed

The structure in POSCAR format:
```
CuAs2I
1.0
-1.960 -1.840 3.995
1.781 -4.044 1.912
2.415 0.165 4.163
As Cu I
2 1 1
direct
0.250 0.250 0.250
0.750 0.750 0.750
0.000 0.000 0.000
0.500 0.500 0.500
```

Properties
Magnetization in μB/cell: 0.000
Space-group type: Fm-3m
E_form (uncorrected) in eV/atom: 0.79
Uncorrected energy in eV/atom: -3.2838
Crystal system: cubic

Record 8
Compound: CuAs2I2
Source: Alexandria
Functional: GGA-PBEsol
Structure: relaxed

The structure in POSCAR format:
```
CuAs2I2
1.0
-3.639 0.570 -0.221
-0.610 -3.280 1.577
2.240 5.216 7.399
I As Cu
2 2 1
direct
0.590 0.590 0.179
0.410 0.410 0.821
0.250 0.750 0.500
0.750 0.250 0.500
0.000 0.000 0.000
```

Properties
Magnetization in μB/cell: 0.000
Space-group type: I4/mmm
E_form (uncorrected) in eV/atom: 0.46
Uncorrected energy in eV/atom: -3.1560
Crystal system: tetragonal

Record 9
Compound: CuAsIN2
Source: Alexandria
Functional: GGA-PBEsol
Structure: relaxed

The structure in POSCAR format:
```
CuAsIN2
1.0
-0.063 -3.161 1.877
3.489 0.539 1.026
-2.118 3.292 5.471
N As Cu I
2 1 1 1
direct
0.500 0.000 0.000
0.000 0.500 0.000
0.000 0.000 0.000
0.500 0.500 0.500
0.000 0.000 0.500
```

Properties
Magnetization in μB/cell: 0.326
Space-group type: P4/mmm
E_form (uncorrected) in eV/atom: 1.19
Uncorrected energy in eV/atom: -4.4655
Crystal system: tetragonal

Record 10
Compound: InCuAs
Source: Alexandria
Functional: GGA-PBEsol
Structure: relaxed

The structure in POSCAR format:
```
InCuAs
1.0
3.998 0.000 0.000
-1.999 3.462 0.000
0.000 0.000 4.136
Cu As In
1 1 1
direct
0.333 0.667 0.744
0.000 0.000 0.895
0.667 0.333 0.361
```

Properties
Magnetization in μB/cell: 0.000
Space-group type: P3m1
Uncorrected energy in eV/atom: -4.0872
Crystal system: trigonal
Formation energy from the elements in eV per formula unit: 0.16

Record 11
Compound: InCuAs
Source: Alexandria
Functional: GGA-PBEsol
Structure: relaxed

The structure in POSCAR format:
```
InCuAs
1.0
-4.130 -1.120 -0.637
-0.953 -3.520 -2.329
-1.614 -3.511 1.947
In Cu As
1 1 1
direct
0.000 0.000 0.000
0.250 0.250 0.250
0.500 0.500 0.500
```

Properties
Magnetization in μB/cell: 0.000
Space-group type: F-43m
Uncorrected energy in eV/atom: -4.0946
Crystal system: cubic
Formation energy from the elements in eV per formula unit: 0.14

Record 12
Compound: InCuAs3
Source: Alexandria
Functional: GGA-PBEsol
Structure: relaxed

The structure in POSCAR format:
```
InCuAs3
1.0
5.109 0.000 0.000
0.000 5.109 0.000
0.000 0.000 5.109
As In Cu
3 1 1
direct
0.000 0.500 0.000
0.000 0.000 0.500
0.500 0.000 0.000
0.000 0.000 0.000
0.500 0.500 0.500
```

Properties
Magnetization in μB/cell: 0.002
Space-group type: Pm-3m
Uncorrected energy in eV/atom: -3.1747
Crystal system: cubic
Formation energy from the elements in eV per formula unit: 6.76